# 1
Below is KHf3Pb after structural relaxation, with properties calculated at the PBE level. Values from VASP.

Calculated values
Distance to the lowest polymorph of the same formula   0.6005 eV/atom
Spin magnetization   1.335 μB/cell
V   25.3 Å³ per atom
E_form   2065.7 meV per atom

Structure (Quantum ESPRESSO input):
```
&SYSTEM
  ibrav = 0, nat = 5, ntyp = 3
/
ATOMIC_SPECIES
Pb 207.20 Pb.upf
Hf 178.49 Hf.upf
K 39.10 K.upf
ATOMIC_POSITIONS crystal
Pb 0.500 0.500 0.500
Hf 0.500 0.000 0.000
Hf 0.000 0.500 0.000
K 0.000 0.000 0.000
Hf 0.000 0.000 0.500
CELL_PARAMETERS angstrom
-4.054 -0.213 2.947
2.873 -1.452 3.848
0.689 4.797 1.296
```

---

# 2
Below is Pr2Si4Ir3 after structural relaxation, with properties calculated at the PBE level. Values from VASP.

Calculated values
Raw total energy   -7.1195 eV per atom
Spin magnetization   0.000 μB/cell
V   18.4 Å³ per atom

Structure (Quantum ESPRESSO input):
```
&SYSTEM
  ibrav = 0, nat = 9, ntyp = 3
/
ATOMIC_SPECIES
Ir 192.22 Ir.upf
Pr 140.91 Pr.upf
Si 28.09 Si.upf
ATOMIC_POSITIONS crystal
Ir 0.000 0.500 0.000
Pr 0.365 0.365 0.731
Si 0.979 0.333 0.313
Si 0.333 0.979 0.313
Ir 0.500 0.000 0.000
Si 0.021 0.667 0.687
Si 0.667 0.021 0.687
Ir 0.000 0.000 0.000
Pr 0.635 0.635 0.269
CELL_PARAMETERS angstrom
-5.671 0.192 0.023
2.830 -1.695 -4.617
1.236 -4.907 4.261
```

---

# 3
Below is Dy3Te2Os after structural relaxation, with properties calculated at the PBE level. Values from VASP.

Calculated values
Raw total energy   -5.9590 eV per atom
Spin magnetization   0.000 μB/cell
V   30.6 Å³ per atom

Structure (Quantum ESPRESSO input):
```
&SYSTEM
  ibrav = 0, nat = 6, ntyp = 3
/
ATOMIC_SPECIES
Dy 162.50 Dy.upf
Te 127.60 Te.upf
Os 190.23 Os.upf
ATOMIC_POSITIONS crystal
Dy 0.500 0.122 0.243
Te 0.500 0.660 0.319
Te 0.500 0.340 0.681
Dy 0.500 0.878 0.757
Os 0.000 0.000 0.000
Dy 0.000 0.500 0.000
CELL_PARAMETERS angstrom
4.208 0.000 0.000
0.000 5.947 0.000
0.000 -2.973 7.339
```

---

# 4
Below is As2PbSeO after structural relaxation, with properties calculated at the PBE level. Values from VASP.

Calculated values
Distance to the lowest polymorph of the same formula   0.0000 eV/atom
Spin magnetization   0.000 μB/cell
V   20.1 Å³ per atom

Structure (Quantum ESPRESSO input):
```
&SYSTEM
  ibrav = 0, nat = 5, ntyp = 4
/
ATOMIC_SPECIES
Pb 207.20 Pb.upf
As 74.92 As.upf
O 16.00 O.upf
Se 78.96 Se.upf
ATOMIC_POSITIONS crystal
Pb 0.500 0.500 0.500
As 0.000 0.500 0.000
O 0.000 0.000 0.000
Se 0.000 0.000 0.500
As 0.500 0.000 0.000
CELL_PARAMETERS angstrom
4.423 0.000 0.000
0.000 4.423 0.000
0.000 0.000 5.132
```

---

# 5
Below is Y2SiAg after structural relaxation, with properties calculated at the PBE level. Values from VASP.

Calculated values
Raw total energy   -5.8304 eV per atom
Spin magnetization   0.001 μB/cell
V   23.9 Å³ per atom

Structure (Quantum ESPRESSO input):
```
&SYSTEM
  ibrav = 0, nat = 4, ntyp = 3
/
ATOMIC_SPECIES
Y 88.91 Y.upf
Ag 107.87 Ag.upf
Si 28.09 Si.upf
ATOMIC_POSITIONS crystal
Y 0.500 0.269 0.337
Ag 0.000 0.700 0.475
Si 0.500 0.544 0.787
Y 0.000 0.987 0.901
CELL_PARAMETERS angstrom
4.271 0.000 0.000
0.000 4.087 -0.003
0.000 2.047 5.475
```

---

# 6
Below is CaNd6YEr2 after structural relaxation, with properties calculated at the PBE level. Values from VASP.

Calculated values
Spin magnetization   0.000 μB/cell
V   34.9 Å³ per atom
E_form   131.8 meV per atom

Structure (Quantum ESPRESSO input):
```
&SYSTEM
  ibrav = 0, nat = 20, ntyp = 4
/
ATOMIC_SPECIES
Nd 144.24 Nd.upf
Ca 40.08 Ca.upf
Y 88.91 Y.upf
Er 167.26 Er.upf
ATOMIC_POSITIONS crystal
Nd 0.552 0.763 0.114
Ca 0.750 0.598 0.402
Nd 0.677 0.028 0.567
Nd 0.823 0.433 0.972
Nd 0.877 0.290 0.499
Nd 0.948 0.886 0.237
Nd 0.377 0.499 0.290
Y 0.750 0.026 0.974
Ca 0.250 0.402 0.598
Er 0.543 0.197 0.299
Nd 0.177 0.567 0.028
Er 0.957 0.701 0.803
Nd 0.123 0.710 0.501
Er 0.457 0.803 0.701
Y 0.250 0.974 0.026
Nd 0.323 0.972 0.433
Er 0.043 0.299 0.197
Nd 0.448 0.237 0.886
Nd 0.052 0.114 0.763
Nd 0.623 0.501 0.710
CELL_PARAMETERS angstrom
9.374 -2.164 -2.246
0.793 8.739 -2.123
0.793 -2.445 8.654
```